1.
KCaPS2: PBEsol geometry, SCAN.

abc: 5.230 5.230 4.970
angles: 90.00 90.00 90.00
Space group P4/mmm (No. 123)
Inequivalent atoms, fractional coordinates:
1 K 0.000 0.000 0.000 [1 per cell]
2 Ca 0.500 0.500 0.500 [1 per cell]
3 P 0.000 0.000 0.500 [1 per cell]
4 S 0.000 0.500 0.000 [2 per cell]

Values from the calculation:
The volume is 136.0 Å³ per cell. Its final energy is -9.06 eV per atom.

***

2.
K2CaPb: PBEsol geometry, SCAN.

abc: 3.8548 3.8548 39.5935
angles: 90.00 90.00 120.00
Space group R-3m (No. 166, hexagonal axes)
Inequivalent atoms, fractional coordinates:
1 K 0.0000 0.0000 0.2395 [6 per cell]
2 Ca 0.0000 0.0000 0.0000 [3 per cell]
3 Pb 0.0000 0.0000 0.5000 [3 per cell]

Values from the calculation:
The volume is 509.5 Å³ per cell. Its final energy is -25.46 eV per atom. The formation energy is 70 meV per atom.

***

3.
KCa2Pb: PBEsol geometry, SCAN.

abc: 5.327 5.327 4.734
angles: 90.00 90.00 90.00
Space group P4/mmm (No. 123)
Inequivalent atoms, fractional coordinates:
1 K 0.000 0.000 0.000 [1 per cell]
2 Ca 0.000 0.500 0.500 [2 per cell]
3 Pb 0.500 0.500 0.000 [1 per cell]

Values from the calculation:
The volume is 134.4 Å³ per cell. Its final energy is -26.11 eV per atom. The formation energy is -246 meV per atom.

***

> Which value of volume does entry 2 give?

509.5 Å³ per cell

***

> Which of these has the highest final energy?

KCaPS2